(1)
CoSi2Br | the Alexandria database | GGA-PBE | optimized geometry; energy above the most stable polymorph in this dataset = 0.604 eV/atom; symmetry = No. 139
1.0
-4.4970 -4.1204 3.1870
-1.5884 -6.6935 0.1764
4.6454 5.0749 0.1506
Br Si Co
1 2 1
Direct
0.2500 0.7500 0.5000
0.0000 0.0000 0.0000
0.5000 0.5000 0.0000
0.7500 0.2500 0.5000

(2)
Co2SiBr | the Alexandria database | GGA-PBE | optimized geometry; energy above the most stable polymorph in this dataset = 0.229 eV/atom; symmetry = No. 25
1.0
2.9667 0.0000 0.0000
0.0000 3.4209 0.0000
0.0000 0.0000 6.0711
Co Si Br
2 1 1
Direct
0.0000 0.0000 0.0035
0.5000 0.5000 0.2623
0.0000 0.0000 0.3727
0.5000 0.5000 0.8615

(3)
Co3SiBr | the Alexandria database | GGA-PBE | optimized geometry; energy above the most stable polymorph in this dataset = 0.000 eV/atom; symmetry = No. 221
1.0
4.3440 0.0000 0.0000
0.0000 4.3440 0.0000
0.0000 0.0000 4.3440
Si Co Br
1 3 1
Direct
0.0000 0.0000 0.0000
0.0000 0.0000 0.5000
0.0000 0.5000 0.0000
0.5000 0.0000 0.0000
0.5000 0.5000 0.5000

(4)
CoSi2Br | the Alexandria database | GGA-PBE | optimized geometry; energy above the most stable polymorph in this dataset = 0.014 eV/atom; symmetry = No. 6
1.0
-2.2082 1.2903 2.5157
-3.0559 -0.7954 -2.2744
-0.3045 -5.0498 2.3227
Br Si Co
1 2 1
Direct
0.0000 0.6742 0.5249
0.0000 0.8418 0.0841
0.5000 0.2533 0.0471
0.5000 0.7306 0.8440

(5)
CoSiBr2 | the Alexandria database | GGA-PBE | optimized geometry; energy above the most stable polymorph in this dataset = 0.013 eV/atom; symmetry = No. 44
1.0
8.8813 1.7591 -0.4277
6.6805 6.1109 0.4277
-7.6306 -4.2321 2.4531
Co Br Si
1 2 1
Direct
0.5397 0.5397 0.0000
0.6339 0.1339 0.5000
0.8614 0.8614 0.0000
0.4649 0.9649 0.5000

(6)
Co2SiBr | the Alexandria database | GGA-PBE | optimized geometry; energy above the most stable polymorph in this dataset = 0.358 eV/atom; symmetry = No. 122
1.0
5.1543 0.0000 0.0000
0.0000 5.1543 0.0000
2.5772 2.5772 5.4584
Co Br Si
4 2 2
Direct
0.5982 0.1250 0.2500
0.8750 0.8482 0.7500
0.1518 0.6250 0.2500
0.3750 0.4018 0.7500
0.0000 0.0000 0.0000
0.7500 0.2500 0.5000
0.2500 0.7500 0.5000
0.5000 0.5000 0.0000

(7)
CoSiBr | the Alexandria database | GGA-PBE | optimized geometry; energy above the most stable polymorph in this dataset = 0.075 eV/atom; symmetry = No. 2
1.0
3.0702 0.0000 -0.0001
0.0000 3.6005 0.0004
-1.4370 -0.0598 10.1057
Co Si Br
2 2 2
Direct
0.9551 0.7484 0.9039
0.0449 0.2516 0.0961
0.5420 0.7515 0.0898
0.4580 0.2485 0.9102
0.1542 0.2549 0.3297
0.8458 0.7451 0.6703

(8)
Co2SiBr | the Alexandria database | GGA-PBE | optimized geometry; energy above the most stable polymorph in this dataset = 0.534 eV/atom; symmetry = No. 47
1.0
2.8426 0.0000 0.0000
0.0000 5.4976 0.0000
0.0000 0.0000 3.8427
Si Co Br
1 2 1
Direct
0.5000 0.0000 0.5000
0.0000 0.0000 0.0000
0.5000 0.5000 0.0000
0.0000 0.5000 0.5000

(9)
Co2SiBr | the Alexandria database | GGA-PBE | optimized geometry; energy above the most stable polymorph in this dataset = 0.579 eV/atom; symmetry = No. 119
1.0
-2.5914 2.8623 -3.4136
-5.1446 0.1314 -0.2766
3.8302 0.3585 3.4296
Br Si Co
1 1 2
Direct
0.7500 0.2500 0.5000
0.5000 0.5000 0.0000
0.2500 0.7500 0.5000
0.0000 0.0000 0.0000

(10)
CoSiBr2 | the Alexandria database | GGA-PBE | optimized geometry; energy above the most stable polymorph in this dataset = 0.695 eV/atom; symmetry = No. 47
1.0
-0.1106 -1.6924 -2.9222
6.0943 0.9216 -0.7644
0.7957 -3.5712 2.0382
Co Br Si
1 2 1
Direct
0.5000 0.0000 0.5000
0.5000 0.5000 0.0000
0.0000 0.0000 0.0000
0.0000 0.5000 0.5000

(11)
CoSi2Br | the Alexandria database | GGA-PBE | optimized geometry; energy above the most stable polymorph in this dataset = 0.658 eV/atom; symmetry = No. 123
1.0
-1.0666 -4.4954 0.8577
4.3878 -1.2548 -1.1204
0.7961 0.3345 2.7432
Co Si Br
1 2 1
Direct
0.0000 0.5000 0.5000
0.5000 0.5000 0.0000
0.0000 0.0000 0.0000
0.5000 0.0000 0.5000

(12)
Co2SiBr | the Alexandria database | GGA-PBE | optimized geometry; energy above the most stable polymorph in this dataset = 0.930 eV/atom; symmetry = No. 216
1.0
-2.2109 3.5615 0.9410
-4.2496 0.1171 -0.6203
-2.6625 0.0477 3.3715
Br Co Si
1 2 1
Direct
0.5000 0.5000 0.5000
0.0000 0.0000 0.0000
0.2500 0.2500 0.2500
0.7500 0.7500 0.7500

What did the eleventh record say?
CoSi2Br | the Alexandria database | GGA-PBE | optimized geometry; energy above the most stable polymorph in this dataset = 0.658 eV/atom; symmetry = No. 123
1.0
-1.0666 -4.4954 0.8577
4.3878 -1.2548 -1.1204
0.7961 0.3345 2.7432
Co Si Br
1 2 1
Direct
0.0000 0.5000 0.5000
0.5000 0.5000 0.0000
0.0000 0.0000 0.0000
0.5000 0.0000 0.5000

Q: Which value of energy above the most stable polymorph in this dataset does entry 10 give?
A: 0.695 eV/atom